1.
A relaxed ZnAgHg2 crystal, computed with PBE.

Calculated values
N(E_F) = 2.95 states/eV/cell
crystal system = orthorhombic
ΔH_f (0 K) = 0.47 eV/f.u.
density = 11.80 g cm⁻³

CIF file:
```
data_ZnAgHg2
_cell_length_a 4.385
_cell_length_b 4.476
_cell_length_c 8.236
_cell_angle_alpha 90.00
_cell_angle_beta 90.00
_cell_angle_gamma 90.00
_symmetry_space_group_name_H-M 'I m m m'
_symmetry_Int_Tables_number 71
_symmetry_space_group_name_Hall '-I 2 2'
loop_
_atom_site_label
_atom_site_fract_x
_atom_site_fract_y
_atom_site_fract_z
Zn1 0.000 0.000 0.000
Ag1 0.000 0.000 0.500
Hg1 0.000 0.500 0.252
```


2.
A relaxed CeNd3Y6 crystal, computed with PBE.

Calculated values
offset from the most stable computed form = 107 meV per atom
N(E_F) = 77.10 states/eV/cell
crystal system = trigonal
ΔH_f (0 K) = 2.60 eV/f.u.
density = 5.51 g cm⁻³

CIF file:
```
data_CeNd3Y6
_cell_length_a 9.9887
_cell_length_b 9.9887
_cell_length_c 11.5766
_cell_angle_alpha 90.00
_cell_angle_beta 90.00
_cell_angle_gamma 120.00
_symmetry_space_group_name_H-M 'R 3'
_symmetry_Int_Tables_number 146
_symmetry_space_group_name_Hall 'R 3'
loop_
_atom_site_label
_atom_site_fract_x
_atom_site_fract_y
_atom_site_fract_z
Ce1 0.0000 0.0000 0.0000
Nd1 0.0000 0.0000 0.2416
Nd2 0.0000 0.0000 0.4999
Nd3 0.0000 0.0000 0.7584
Y1 0.9999 0.3252 0.9996
Y2 0.9999 0.6716 0.4994
```


3.
A relaxed Rb2Ho2US6 crystal, computed with PBE.

Calculated values
raw formation energy = -1.7409 eV/atom
N(E_F) = 13.88 states/eV/cell
crystal system = monoclinic
density = 4.69 g cm⁻³

CIF file:
```
data_Rb2Ho2US6
_cell_length_a 6.959
_cell_length_b 12.053
_cell_length_c 8.209
_cell_angle_alpha 90.00
_cell_angle_beta 106.69
_cell_angle_gamma 90.00
_symmetry_space_group_name_H-M 'C 1 2/m 1'
_symmetry_Int_Tables_number 12
loop_
_symmetry_equiv_pos_as_xyz
'x,y,z'
'-x,-y,-z'
'-x,y,-z'
'x,-y,z'
'x+1/2,y+1/2,z'
'-x+1/2,-y+1/2,-z'
'-x+1/2,y+1/2,-z'
'x+1/2,-y+1/2,z'
loop_
_atom_site_label
_atom_site_fract_x
_atom_site_fract_y
_atom_site_fract_z
Rb1 0.000 0.169 0.000
Ho1 0.000 0.333 0.500
U1 0.000 0.000 0.500
S1 0.227 0.166 0.686
S2 0.235 0.500 0.685
```


4.
A relaxed Pr2Er3Tm7 crystal, computed with PBE.

Calculated values
offset from the most stable computed form = 33 meV per atom
N(E_F) = 34.73 states/eV/cell
crystal system = orthorhombic
ΔH_f (0 K) = 1.44 eV/f.u.
density = 8.63 g cm⁻³

CIF file:
```
data_Pr2Er3Tm7
_cell_length_a 5.624
_cell_length_b 37.449
_cell_length_c 3.594
_cell_angle_alpha 90.00
_cell_angle_beta 90.00
_cell_angle_gamma 90.00
_symmetry_space_group_name_H-M 'C m m m'
_symmetry_Int_Tables_number 65
_symmetry_space_group_name_Hall '-C 2 2'
loop_
_atom_site_label
_atom_site_fract_x
_atom_site_fract_y
_atom_site_fract_z
Pr1 0.000 0.147 0.000
Er1 0.000 0.313 0.500
Er2 0.000 0.500 0.500
Tm1 0.000 0.000 0.000
Tm2 0.000 0.070 0.500
Tm3 0.000 0.230 0.000
Tm4 0.000 0.412 0.000
```


5.
A relaxed Rb2PmYSe4 crystal, computed with PBE.

Calculated values
raw formation energy = -1.7417 eV/atom
N(E_F) = 0.00 states/eV/cell
crystal system = monoclinic
density = 4.67 g cm⁻³

CIF file:
```
data_Rb2PmYSe4
_cell_length_a 7.443
_cell_length_b 4.298
_cell_length_c 8.381
_cell_angle_alpha 90.00
_cell_angle_beta 107.21
_cell_angle_gamma 90.00
_symmetry_space_group_name_H-M 'P 1 2/m 1'
_symmetry_Int_Tables_number 10
loop_
_symmetry_equiv_pos_as_xyz
'x,y,z'
'-x,-y,-z'
'-x,y,-z'
'x,-y,z'
loop_
_atom_site_label
_atom_site_fract_x
_atom_site_fract_y
_atom_site_fract_z
Rb1 0.000 0.000 0.000
Rb2 0.500 0.500 0.000
Pm1 0.000 0.500 0.500
Y1 0.500 0.000 0.500
Se1 0.238 0.000 0.699
Se2 0.273 0.500 0.303
```


6.
A relaxed RbGaO2 crystal, computed with PBE.

Calculated values
raw formation energy = -1.7378 eV/atom
N(E_F) = 0.00 states/eV/cell
crystal system = monoclinic
density = 3.43 g cm⁻³

CIF file:
```
data_RbGaO2
_cell_length_a 11.511
_cell_length_b 6.297
_cell_length_c 5.279
_cell_angle_alpha 90.00
_cell_angle_beta 108.61
_cell_angle_gamma 90.00
_symmetry_space_group_name_H-M 'C 1 2 1'
_symmetry_Int_Tables_number 5
loop_
_symmetry_equiv_pos_as_xyz
'x,y,z'
'-x,y,-z'
'x+1/2,y+1/2,z'
'-x+1/2,y+1/2,-z'
loop_
_atom_site_label
_atom_site_fract_x
_atom_site_fract_y
_atom_site_fract_z
Rb1 0.181 0.000 0.238
Ga1 0.000 0.537 0.000
Ga2 0.000 0.547 0.500
O1 0.089 0.693 0.815
O2 0.092 0.398 0.318
```


7.
A relaxed HPdF2 crystal, computed with PBE.

Calculated values
offset from the most stable computed form = 790 meV per atom
N(E_F) = 10.11 states/eV/cell
crystal system = cubic
density = 5.94 g cm⁻³

CIF file:
```
data_HPdF2
_cell_length_a 5.457
_cell_length_b 5.457
_cell_length_c 5.457
_cell_angle_alpha 90.00
_cell_angle_beta 90.00
_cell_angle_gamma 90.00
_symmetry_space_group_name_H-M 'F m -3 m'
_symmetry_Int_Tables_number 225
_symmetry_space_group_name_Hall '-F 4 2 3'
loop_
_atom_site_label
_atom_site_fract_x
_atom_site_fract_y
_atom_site_fract_z
H1 0.000 0.000 0.000
Pd1 0.000 0.000 0.500
F1 0.250 0.250 0.250
```


8.
A relaxed SmTm2Rh2 crystal, computed with PBE.

Calculated values
offset from the most stable computed form = 91 meV per atom
N(E_F) = 13.14 states/eV/cell
crystal system = orthorhombic
ΔH_f (0 K) = -3.11 eV/f.u.
density = 9.66 g cm⁻³

CIF file:
```
data_SmTm2Rh2
_cell_length_a 3.829
_cell_length_b 16.760
_cell_length_c 7.435
_cell_angle_alpha 90.00
_cell_angle_beta 90.00
_cell_angle_gamma 90.00
_symmetry_space_group_name_H-M 'C m c 21'
_symmetry_Int_Tables_number 36
loop_
_symmetry_equiv_pos_as_xyz
'x,y,z'
'-x,-y,z+1/2'
'-x,y,z'
'x,-y,z+1/2'
'x+1/2,y+1/2,z'
'-x+1/2,-y+1/2,z+1/2'
'-x+1/2,y+1/2,z'
'x+1/2,-y+1/2,z+1/2'
loop_
_atom_site_label
_atom_site_fract_x
_atom_site_fract_y
_atom_site_fract_z
Sm1 0.000 0.127 0.000
Tm1 0.000 0.316 0.889
Tm2 0.000 0.469 0.169
Rh1 0.000 0.051 0.372
Rh2 0.000 0.300 0.270
```